VASP calculation (PBE-GGA) on an optimized crystal structure of ZrScAg2.

Cell lengths 5.380, 5.380, 5.244 Å; angles 76.74, 76.74, 33.49 degrees
Atoms (fractional coordinates):
Zr 0.257 0.257 0.211
Ag 0.010 0.010 0.025
Ag 0.740 0.740 0.723
Sc 0.492 0.492 0.541

Summary:
ΔH_f (0 K), eV/f.u.: -0.21
N(E_F), states/eV per cell: 4.75
Excess energy over the best structure of this formula in the dataset, kcal/mol of atoms: 2.08